# 1
Below is a relaxed YCl3 crystal, with properties calculated at the PBE level. Values from VASP.

Crystal system   cubic
V   21.35 Å³ per atom
M_tot   0.0 μB/cell
Uncorrected formation energy   -1.6431 eV per atom

Structure (Quantum ESPRESSO input):
```
&SYSTEM
  ibrav = 0, nat = 8, ntyp = 2
/
ATOMIC_SPECIES
Y 88.91 Y.upf
Cl 35.45 Cl.upf
CELL_PARAMETERS angstrom
5.548 0.000 0.000
0.000 5.548 0.000
0.000 0.000 5.548
ATOMIC_POSITIONS angstrom
Y 0.000 0.000 0.000
Y 2.774 2.774 2.774
Cl 0.000 1.387 2.774
Cl 0.000 4.161 2.774
Cl 1.387 2.774 0.000
Cl 2.774 0.000 1.387
Cl 2.774 0.000 4.161
Cl 4.161 2.774 0.000
```

# 2
Below is a relaxed YCl3 crystal, with properties calculated at the PBE level. Values from VASP.

Crystal system   trigonal
V   43.21 Å³ per atom
M_tot   3.7 μB/cell
Uncorrected formation energy   -0.5505 eV per atom

Structure (Quantum ESPRESSO input):
```
&SYSTEM
  ibrav = 0, nat = 12, ntyp = 2
/
ATOMIC_SPECIES
Y 88.91 Y.upf
Cl 35.45 Cl.upf
CELL_PARAMETERS angstrom
4.127 0.000 0.000
-2.064 3.574 0.000
0.000 0.000 35.151
ATOMIC_POSITIONS angstrom
Y 0.000 0.000 0.000
Y 0.000 2.383 23.434
Y 2.064 1.191 11.717
Cl 0.000 0.000 2.423
Cl 0.000 0.000 17.575
Cl 0.000 0.000 32.727
Cl 0.000 2.383 5.858
Cl 0.000 2.383 21.010
Cl 0.000 2.383 25.857
Cl 2.064 1.191 9.293
Cl 2.064 1.191 14.140
Cl 2.064 1.191 29.292
```

# 3
Below is a relaxed YZnCl crystal, with properties calculated at the PBE level. Values from VASP.

Crystal system   cubic
V   26.02 Å³ per atom
M_tot   0.0 μB/cell
Uncorrected formation energy   -0.3565 eV per atom

Structure (Quantum ESPRESSO input):
```
&SYSTEM
  ibrav = 0, nat = 12, ntyp = 3
/
ATOMIC_SPECIES
Y 88.91 Y.upf
Zn 65.41 Zn.upf
Cl 35.45 Cl.upf
CELL_PARAMETERS angstrom
6.784 0.000 0.000
0.000 6.784 0.000
0.000 0.000 6.784
ATOMIC_POSITIONS angstrom
Y 0.000 0.000 0.000
Y 0.000 3.392 3.392
Y 3.392 0.000 3.392
Y 3.392 3.392 0.000
Zn 1.696 1.696 1.696
Zn 1.696 5.088 5.088
Zn 5.088 1.696 5.088
Zn 5.088 5.088 1.696
Cl 1.696 1.696 5.088
Cl 1.696 5.088 1.696
Cl 5.088 1.696 1.696
Cl 5.088 5.088 5.088
```

# 4
Below is a relaxed Y2ZnCl crystal, with properties calculated at the PBE level. Values from VASP.

Crystal system   tetragonal
Relative energy among the computed polymorphs   0.4410 eV per atom
V   30.75 Å³ per atom
M_tot   0.0 μB/cell
Uncorrected formation energy   -0.3618 eV per atom

Structure (Quantum ESPRESSO input):
```
&SYSTEM
  ibrav = 0, nat = 16, ntyp = 3
/
ATOMIC_SPECIES
Y 88.91 Y.upf
Zn 65.41 Zn.upf
Cl 35.45 Cl.upf
CELL_PARAMETERS angstrom
5.920 0.000 0.000
0.000 5.920 0.000
0.000 0.000 14.039
ATOMIC_POSITIONS angstrom
Y 1.437 1.480 1.755
Y 1.480 4.396 5.265
Y 1.480 4.483 12.284
Y 1.523 1.480 8.774
Y 4.396 4.440 8.774
Y 4.440 1.437 12.284
Y 4.440 1.523 5.265
Y 4.483 4.440 1.755
Zn 0.000 0.000 7.019
Zn 0.000 2.960 10.529
Zn 2.960 0.000 3.510
Zn 2.960 2.960 0.000
Cl 0.000 0.000 0.000
Cl 0.000 2.960 3.510
Cl 2.960 0.000 10.529
Cl 2.960 2.960 7.019
```

# 5
Below is a relaxed Y2ZnCl crystal, with properties calculated at the PBE level. Values from VASP.

Crystal system   monoclinic
Relative energy among the computed polymorphs   0.0113 eV per atom
V   24.06 Å³ per atom
M_tot   0.0 μB/cell
Uncorrected formation energy   -0.7914 eV per atom

Structure (Quantum ESPRESSO input):
```
&SYSTEM
  ibrav = 0, nat = 8, ntyp = 3
/
ATOMIC_SPECIES
Y 88.91 Y.upf
Zn 65.41 Zn.upf
Cl 35.45 Cl.upf
CELL_PARAMETERS angstrom
6.846 0.000 0.000
0.000 3.947 0.000
-2.271 0.000 7.122
ATOMIC_POSITIONS angstrom
Y 1.143 0.000 1.745
Y 0.008 1.974 5.377
Y 4.566 1.974 1.745
Y 3.431 0.000 5.377
Zn 0.000 1.974 0.000
Zn 3.423 0.000 0.000
Cl -1.136 0.000 3.561
Cl 2.287 1.974 3.561
```

# 6
Below is a relaxed Y2ZnCl crystal, with properties calculated at the PBE level. Values from VASP.

Crystal system   orthorhombic
Relative energy among the computed polymorphs   0.1442 eV per atom
V   24.70 Å³ per atom
M_tot   0.0 μB/cell
Uncorrected formation energy   -0.6586 eV per atom

Structure (Quantum ESPRESSO input):
```
&SYSTEM
  ibrav = 0, nat = 8, ntyp = 3
/
ATOMIC_SPECIES
Y 88.91 Y.upf
Zn 65.41 Zn.upf
Cl 35.45 Cl.upf
CELL_PARAMETERS angstrom
3.590 0.000 0.000
0.000 3.845 0.000
0.000 0.000 14.316
ATOMIC_POSITIONS angstrom
Y 0.000 0.000 0.000
Y 0.000 1.923 3.713
Y 1.795 0.000 10.871
Y 1.795 1.923 7.158
Zn 0.000 1.923 12.150
Zn 1.795 0.000 4.992
Cl 0.000 0.000 8.531
Cl 1.795 1.923 1.373
```

Question: Which formula does entry 3 have?
Answer: YZnCl

Question: What is the M_tot in the fourth record?
Answer: 0.0 μB/cell